A plane-wave DFT calculation with PBE was carried out for crystalline LaSnSb2 at its relaxed geometry.

abc: 4.4400 4.4400 23.2234
angles: 90.00 90.00 120.00
Space group R-3m (No. 166, hexagonal axes)
One atom of each set of equivalent atoms:
La  0.0000  0.0000  0.0000
Sn  0.0000  0.0000  0.5000
Sb  0.0000  0.0000  0.2470

The value obtained for the formation energy (no corrections) is -0.455 eV/atom. As for the crystal system: trigonal. The value obtained for the final energy is -0.349 Ry per atom. The value obtained for the density of states at the Fermi level is 11.6 states/eV per cell.